A PBEsol-optimized structure of As2OsI2, computed with meta-GGA SCAN.

## Properties
E_form (uncorrected) in eV/atom: 1.087
M_tot in μB/f.u.: 0.01
Density of states at the Fermi level in states/eV per atom: 0.628
V in Å³/f.u.: 120.71

Cell: 3.4805 3.4805 19.9290 Å, 90.00 90.00 90.00°
Atoms (fractional coordinates):
As (0.0000, 0.5000, 0.2500)
As (0.0000, 0.5000, 0.7500)
As (0.5000, 0.0000, 0.2500)
As (0.5000, 0.0000, 0.7500)
Os (0.0000, 0.0000, 0.0000)
Os (0.5000, 0.5000, 0.5000)
I (0.0000, 0.0000, 0.4192)
I (0.0000, 0.0000, 0.5808)
I (0.5000, 0.5000, 0.0808)
I (0.5000, 0.5000, 0.9192)